Material: HoLuCdSn
Method: DFT, PBE
State: optimized geometry

Cell and atoms, written as POSCAR:
```
HoLuCdSn
1.0
0.0000 3.7005 3.7005
3.7005 0.0000 3.7005
3.7005 3.7005 0.0000
Ho Lu Cd Sn
1 1 1 1
Cartesian
0.0000 0.0000 0.0000 Ho
3.7005 3.7005 3.7005 Lu
5.5508 5.5508 5.5508 Cd
1.8503 1.8503 1.8503 Sn
```

Computed properties:
D(E_F) ... 3.58 states/eV/cell
Size of the total moment ... 0.000 μB per atom
ΔE_f ... -0.44 eV per atom